Entry from Alexandria via LeMat-Bulk: RbCuSbCl5 after structural relaxation (GGA-PBE).

extended XYZ file:
```
16
Lattice="7.4606 0.0148 -0.0739 -2.1637 7.1399 -0.0739 -2.2865 -3.0885 9.3548" Properties=species:S:1:pos:R:3 pbc="T T T"
Cl 5.7552 1.8730 0.8986
Cl 2.1521 1.4461 0.7269
Cl -1.0319 4.5070 5.5760
Cl 4.0422 -0.4408 3.6310
Cl 0.8583 2.6201 8.4801
Cl 3.3987 3.1300 3.8027
Cl -0.3883 0.9363 5.4043
Cl -2.7448 2.1933 8.3084
Cl -2.0332 5.8480 2.2648
Cl 5.0436 -1.7818 6.9422
Sb 0.0000 0.0000 0.0000
Sb -1.1433 -1.5442 4.6774
Rb 2.4101 0.1679 6.9422
Rb 0.6003 3.8984 2.2648
Cu 3.9366 1.4284 2.2648
Cu -0.9262 2.6379 6.9422
```

## Properties
Symmetry: No. 15
Uncorrected formation energy, eV/atom: -1.0417